Record 1
{"formula": "AgBTe2", "functional": "GGA-PBE", "state": "optimized geometry", "total_magnetization_mub_per_atom": 0.00, "sg": "I-42d, No. 122", "e_form_raw_ev_per_atom": 0.175, "e_tot_ev_per_atom": -3.778, "lattice": [[6.131, 0.000, 0.000], [0.000, 6.131, 0.000], [3.066, 3.066, 5.257]], "species": ["Te", "B", "Te", "Ag", "Te", "Ag", "B", "Te"], "fractional_positions": [[0.190, 0.625, 0.250], [0.250, 0.750, 0.500], [0.375, 0.440, 0.750], [0.000, 0.000, 0.000], [0.560, 0.125, 0.250], [0.750, 0.250, 0.500], [0.500, 0.500, 0.000], [0.875, 0.810, 0.750]]}

Record 2
{"formula": "PrU2S4", "functional": "GGA-PBE", "state": "optimized geometry", "total_magnetization_mub_per_atom": 0.87, "sg": "Cmcm, No. 63", "e_form_raw_ev_per_atom": -1.552, "e_tot_ev_per_atom": -7.819, "lattice": [[3.844, 0.000, 0.000], [-1.922, 6.511, 0.000], [0.000, 0.000, 13.241]], "species": ["S", "S", "U", "S", "S", "S", "U", "S", "S", "Pr", "U", "Pr", "U", "S"], "fractional_positions": [[0.952, 0.904, 0.750], [0.773, 0.547, 0.376], [0.866, 0.731, 0.564], [0.500, 0.000, 0.000], [0.227, 0.453, 0.876], [0.500, 0.000, 0.500], [0.134, 0.269, 0.436], [0.048, 0.096, 0.250], [0.773, 0.547, 0.124], [0.384, 0.767, 0.250], [0.866, 0.731, 0.936], [0.616, 0.233, 0.750], [0.134, 0.269, 0.064], [0.227, 0.453, 0.624]]}

Record 3
{"formula": "Sm8SnTe4As3", "functional": "GGA-PBE", "state": "optimized geometry", "total_magnetization_mub_per_atom": 0.00, "sg": "R-3m, No. 166", "e_form_raw_ev_per_atom": -1.420, "e_tot_ev_per_atom": -5.687, "lattice": [[-7.155, -0.871, 4.842], [-1.825, -7.600, -4.065], [7.725, 1.062, 3.820]], "species": ["Te", "Te", "Sm", "Sm", "As", "As", "Sm", "Sm", "Sm", "Sm", "As", "Sm", "Te", "Sm", "Te", "Sn"], "fractional_positions": [[0.500, 0.000, 0.500], [0.000, 0.000, 0.500], [0.246, 0.727, 0.981], [0.260, 0.281, 0.520], [0.500, 0.500, 0.500], [0.500, 0.500, 0.000], [0.754, 0.273, 0.508], [0.266, 0.273, 0.019], [0.740, 0.719, 0.480], [0.754, 0.273, 0.019], [0.000, 0.500, 0.500], [0.734, 0.727, 0.981], [0.000, 0.000, 0.000], [0.246, 0.727, 0.492], [0.500, 0.000, 0.000], [0.000, 0.500, 0.000]]}

Record 4
{"formula": "TlSiSb2", "functional": "GGA-PBE", "state": "optimized geometry", "total_magnetization_mub_per_atom": 0.00, "de_polymorph_ev_per_atom": 0.122, "sg": "P4mm, No. 99", "e_form_raw_ev_per_atom": 0.296, "e_tot_ev_per_atom": -3.713, "lattice": [[-3.208, 1.657, -1.616], [-2.291, -1.904, 2.596], [0.564, 5.533, 4.556]], "species": ["Sb", "Sb", "Tl", "Si"], "fractional_positions": [[0.500, 0.500, 0.291], [0.000, 0.000, 0.039], [0.500, 0.500, 0.761], [0.000, 0.000, 0.408]]}

Record 5
{"formula": "TmCuTc", "functional": "GGA-PBE", "state": "optimized geometry", "total_magnetization_mub_per_atom": 0.00, "sg": "Cmcm, No. 63", "e_tot_ev_per_atom": -6.274, "e_form_kj_per_mol_atoms": 3.55, "lattice": [[-1.098, 2.166, 2.382], [-4.223, -0.361, -1.617], [2.030, -7.261, 2.684]], "species": ["Cu", "Tm", "Tc", "Tm", "Cu", "Tc"], "fractional_positions": [[0.786, 0.268, 0.537], [0.043, 0.896, 0.792], [0.610, 0.430, 0.860], [0.957, 0.104, 0.208], [0.214, 0.732, 0.463], [0.390, 0.570, 0.140]]}

Record 6
{"formula": "HoEr2Pu", "functional": "GGA-PBE", "state": "optimized geometry", "total_magnetization_mub_per_atom": 1.54, "de_polymorph_ev_per_atom": 0.007, "sg": "P4/mmm, No. 123", "e_tot_ev_per_atom": -6.916, "e_form_kj_per_mol_atoms": 8.99, "lattice": [[-1.930, -0.242, 2.869], [-2.858, -0.258, -1.944], [1.001, -9.875, -0.159]], "species": ["Pu", "Ho", "Er", "Er"], "fractional_positions": [[0.500, 0.500, 0.500], [0.500, 0.500, 0.000], [0.000, 0.000, 0.254], [0.000, 0.000, 0.746]]}